Tb4CeDy3 after structural relaxation, computed with PBE.

## Properties
* polymorph energy (0 for the lowest one): 0.145 eV/atom
* space group: C2/m, No. 12
* final energy: -4.59 eV/atom

Cell lengths 3.425, 6.747, 11.773 Å; angles 106.63, 98.36, 90.00 degrees
Sites, in units of the cell vectors:
1 Tb 0.876 0.634 0.752
2 Dy 0.000 0.500 0.000
3 Ce 0.500 0.000 0.000
4 Dy 0.876 0.118 0.751
5 Dy 0.124 0.882 0.249
6 Tb 0.124 0.366 0.248
7 Tb 0.259 0.760 0.518
8 Tb 0.741 0.240 0.482

TbCeDy2 after structural relaxation, computed with PBE.

## Properties
* polymorph energy (0 for the lowest one): 0.123 eV/atom
* space group: Fm-3m, No. 225
* final energy: -4.76 eV/atom

Cell lengths 5.655, 5.655, 5.655 Å; angles 60.00, 60.00, 60.00 degrees
Sites, in units of the cell vectors:
1 Tb 0.500 0.500 0.500
2 Dy 0.250 0.250 0.250
3 Dy 0.750 0.750 0.750
4 Ce 0.000 0.000 0.000

TbCeDy2 after structural relaxation, computed with PBE.

## Properties
* polymorph energy (0 for the lowest one): 0.120 eV/atom
* space group: R-3m, No. 166
* final energy: -4.77 eV/atom

Cell lengths 3.409, 3.409, 12.459 Å; angles 82.14, 82.14, 60.00 degrees
Sites, in units of the cell vectors:
1 Tb 0.500 0.500 0.500
2 Dy 0.089 0.089 0.734
3 Dy 0.911 0.911 0.266
4 Ce 0.000 0.000 0.000

Tb5CeDy4 after structural relaxation, computed with PBE.

## Properties
* polymorph energy (0 for the lowest one): 0.000 eV/atom
* space group: C2/m, No. 12
* final energy: -4.64 eV/atom

Cell lengths 3.471, 10.851, 9.018 Å; angles 73.18, 101.10, 90.00 degrees
Sites, in units of the cell vectors:
1 Tb 0.793 0.600 0.586
2 Dy 0.304 0.083 0.608
3 Tb 0.105 0.714 0.210
4 Tb 0.500 0.500 0.000
5 Dy 0.093 0.192 0.187
6 Ce 0.500 0.000 0.000
7 Dy 0.696 0.917 0.392
8 Tb 0.207 0.400 0.414
9 Dy 0.907 0.808 0.813
10 Tb 0.895 0.286 0.790

Tb15CeDy4 after structural relaxation, computed with PBE.

## Properties
* space group: P4/mmm, No. 123
* final energy: -4.66 eV/atom

Cell lengths 5.031, 5.031, 25.156 Å; angles 90.00, 90.00, 90.00 degrees
Sites, in units of the cell vectors:
1 Tb 0.000 0.500 0.901
2 Tb 0.500 0.500 0.201
3 Tb 0.500 0.500 0.600
4 Tb 0.500 0.000 0.901
5 Dy 0.000 0.000 0.600
6 Tb 0.500 0.500 0.799
7 Dy 0.000 0.000 0.800
8 Tb 0.500 0.500 0.400
9 Ce 0.000 0.000 0.000
10 Tb 0.500 0.000 0.700
11 Tb 0.000 0.500 0.300
12 Tb 0.500 0.000 0.300
13 Tb 0.500 0.000 0.500
14 Tb 0.000 0.500 0.700
15 Dy 0.000 0.000 0.200
16 Dy 0.000 0.000 0.400
17 Tb 0.000 0.500 0.099
18 Tb 0.000 0.500 0.500
19 Tb 0.500 0.000 0.099
20 Tb 0.500 0.500 0.000

Tb6CeDy3 after structural relaxation, computed with PBE.

## Properties
* polymorph energy (0 for the lowest one): 0.049 eV/atom
* space group: P2_1/m, No. 11
* final energy: -4.67 eV/atom

Cell lengths 3.504, 12.990, 14.311 Å; angles 100.54, 90.00, 90.00 degrees
Sites, in units of the cell vectors:
1 Tb 0.750 0.123 0.487
2 Dy 0.250 0.577 0.096
3 Tb 0.250 0.192 0.923
4 Tb 0.750 0.780 0.713
5 Tb 0.250 0.655 0.879
6 Tb 0.250 0.877 0.513
7 Tb 0.250 0.271 0.701
8 Tb 0.750 0.729 0.299
9 Dy 0.250 0.374 0.498
10 Ce 0.250 0.964 0.280
11 Tb 0.750 0.345 0.121
12 Dy 0.750 0.075 0.098
13 Tb 0.750 0.500 0.690
14 Tb 0.250 0.500 0.310
15 Tb 0.750 0.808 0.077
16 Dy 0.250 0.925 0.902
17 Tb 0.250 0.220 0.287
18 Dy 0.750 0.626 0.502
19 Ce 0.750 0.036 0.720
20 Dy 0.750 0.423 0.904